(1)
{"formula": "Cd2TeAu2", "functional": "PBE", "state": "optimized geometry", "final_energy_ev_per_cell": -11.67, "e_above_lowest_polymorph_mev_per_atom": 58, "sg": "I4/mmm (139)", "vol_a3_per_atom": 22.79, "lattice_angstrom": [[-2.059, 2.059, 6.723], [2.059, -2.059, 6.723], [2.059, 2.059, -6.723]], "species": ["Cd", "Cd", "Te", "Au", "Au"], "fractional_positions": [[0.250, 0.750, 0.500], [0.750, 0.250, 0.500], [0.000, 0.000, 0.000], [0.398, 0.398, 0.000], [0.602, 0.602, 0.000]]}

---

(2)
{"formula": "CdTe2Au", "functional": "PBE", "state": "optimized geometry", "final_energy_ev_per_cell": -10.71, "sg": "Pm (6)", "vol_a3_per_atom": 29.07, "lattice_angstrom": [[3.587, 0.000, 0.000], [0.000, 4.549, 0.000], [-0.229, 0.000, 7.126]], "species": ["Cd", "Te", "Te", "Au"], "fractional_positions": [[0.000, 0.000, 0.000], [0.406, 0.000, 0.643], [0.866, 0.500, 0.236], [0.515, 0.500, 0.860]]}